No. 1
Computed, not measured: Mg7PdPb2 after structural relaxation at the PBE-GGA level of DFT.

* excess energy over the best structure of this formula in the dataset: 354 meV per atom
* M_tot: 0.00 μB per formula unit
* crystal system: cubic

Cell: 7.316 7.316 7.316 Å, 60.00 60.00 60.00°
Atoms (fractional coordinates):
Mg  0.000  0.000  0.000
Mg  0.261  0.261  0.739
Mg  0.261  0.739  0.261
Mg  0.261  0.739  0.739
Mg  0.739  0.261  0.261
Mg  0.739  0.261  0.739
Mg  0.739  0.739  0.261
Pd  0.500  0.500  0.500
Pb  0.250  0.250  0.250
Pb  0.750  0.750  0.750


No. 2
Computed, not measured: Mg6PdPb2 after structural relaxation at the PBE-GGA level of DFT.

* M_tot: 0.00 μB per formula unit
* crystal system: hexagonal

Cell: 8.047 8.047 3.658 Å, 90.00 90.00 120.00°
Atoms (fractional coordinates):
Mg  0.000  0.358  0.000
Mg  0.000  0.754  0.500
Mg  0.246  0.246  0.500
Mg  0.358  0.000  0.000
Mg  0.642  0.642  0.000
Mg  0.754  0.000  0.500
Pd  0.000  0.000  0.000
Pb  0.333  0.667  0.500
Pb  0.667  0.333  0.500


No. 3
Computed, not measured: MgPd2Pb after structural relaxation at the PBE-GGA level of DFT.

* M_tot: 0.00 μB per formula unit
* crystal system: tetragonal

Cell: 3.330 3.330 6.683 Å, 90.00 90.00 90.00°
Atoms (fractional coordinates):
Mg  0.000  0.000  0.000
Pd  0.500  0.500  0.221
Pd  0.500  0.500  0.779
Pb  0.000  0.000  0.500


No. 4
Computed, not measured: Mg2PdPb after structural relaxation at the PBE-GGA level of DFT.

* M_tot: 0.00 μB per formula unit
* crystal system: tetragonal

Cell: 6.312 6.312 6.312 Å, 102.68 102.68 124.13°
Atoms (fractional coordinates):
Mg  0.072  0.125  0.447
Mg  0.375  0.928  0.053
Mg  0.678  0.625  0.553
Mg  0.875  0.322  0.947
Pd  0.000  0.000  0.000
Pd  0.750  0.250  0.500
Pb  0.250  0.750  0.500
Pb  0.500  0.500  0.000


No. 5
Computed, not measured: Mg3Pd4Pb after structural relaxation at the PBE-GGA level of DFT.

* M_tot: 0.00 μB per formula unit
* crystal system: trigonal

Cell: 7.982 7.982 7.982 Å, 33.40 33.40 33.40°
Atoms (fractional coordinates):
Mg  0.000  0.000  0.000
Mg  0.252  0.252  0.252
Mg  0.748  0.748  0.748
Pd  0.121  0.121  0.121
Pd  0.373  0.373  0.373
Pd  0.627  0.627  0.627
Pd  0.879  0.879  0.879
Pb  0.500  0.500  0.500


No. 6
Computed, not measured: MgPd12Pb6 after structural relaxation at the PBE-GGA level of DFT.

* M_tot: 0.00 μB per formula unit
* crystal system: trigonal

Cell: 7.612 7.612 7.612 Å, 107.02 107.02 107.02°
Atoms (fractional coordinates):
Mg  0.000  0.000  0.000
Pd  0.122  0.843  0.266
Pd  0.157  0.734  0.878
Pd  0.179  0.600  0.477
Pd  0.266  0.122  0.843
Pd  0.400  0.523  0.821
Pd  0.477  0.179  0.600
Pd  0.523  0.821  0.400
Pd  0.600  0.477  0.179
Pd  0.734  0.878  0.157
Pd  0.821  0.400  0.523
Pd  0.843  0.266  0.122
Pd  0.878  0.157  0.734
Pb  0.093  0.216  0.474
Pb  0.216  0.474  0.093
Pb  0.474  0.093  0.216
Pb  0.526  0.907  0.784
Pb  0.784  0.526  0.907
Pb  0.907  0.784  0.526


No. 7
Computed, not measured: Mg4PdPb after structural relaxation at the PBE-GGA level of DFT.

* M_tot: 0.00 μB per formula unit
* crystal system: monoclinic

Cell: 7.433 7.433 5.645 Å, 100.62 100.62 113.07°
Atoms (fractional coordinates):
Mg  0.066  0.719  0.943
Mg  0.187  0.362  0.635
Mg  0.281  0.934  0.557
Mg  0.362  0.187  0.135
Mg  0.638  0.813  0.865
Mg  0.719  0.066  0.443
Mg  0.813  0.638  0.365
Mg  0.934  0.281  0.057
Pd  0.001  0.999  0.750
Pd  0.999  0.001  0.250
Pb  0.383  0.617  0.250
Pb  0.617  0.383  0.750


No. 8
Computed, not measured: Mg5PdPb after structural relaxation at the PBE-GGA level of DFT.

* excess energy over the best structure of this formula in the dataset: 0 meV per atom
* M_tot: 0.00 μB per formula unit
* crystal system: tetragonal

Cell: 4.567 4.567 7.417 Å, 90.00 90.00 90.00°
Atoms (fractional coordinates):
Mg  0.000  0.000  0.000
Mg  0.000  0.500  0.301
Mg  0.000  0.500  0.699
Mg  0.500  0.000  0.301
Mg  0.500  0.000  0.699
Pd  0.000  0.000  0.500
Pb  0.500  0.500  0.000


Number 1: E_form 145 meV/atom, total DFT energy (no corrections) -22.3 eV/cell. Number 2: E_form -252 meV/atom, total DFT energy (no corrections) -24.4 eV/cell. Number 3: E_form -441 meV/atom, total DFT energy (no corrections) -17.5 eV/cell. Number 4: E_form -117 meV/atom, total DFT energy (no corrections) -25.1 eV/cell. Number 5: E_form -589 meV/atom, total DFT energy (no corrections) -34.0 eV/cell. Number 6: E_form -241 meV/atom, total DFT energy (no corrections) -90.7 eV/cell. Number 7: E_form -295 meV/atom, total DFT energy (no corrections) -34.1 eV/cell. Number 8: E_form -274 meV/atom, total DFT energy (no corrections) -18.8 eV/cell.